The following is a PBE calculation of Pr4NdTh3S8 after structural relaxation, from the Alexandria database.

As for the formation energy without anion corrections: -44.96 kcal/mol of atoms. Its uncorrected energy is -6.90 eV per atom.

It has space group R-3m (No. 166, hexagonal axes), with a = 8.1255 Å, b = 8.1255 Å, c = 20.0714 Å, α = 90.00°, β = 90.00° and γ = 120.00°. The inequivalent atoms are Pr at (0.0000, 0.0000, 0.0000), Pr at (0.0000, 0.5000, 0.0000), Nd at (0.0000, 0.0000, 0.5000), Th at (0.0000, 0.5000, 0.5000), S at (0.0000, 0.0000, 0.2489) and S at (0.0008, 0.5004, 0.7514).



The following is a PBE calculation of Pr3Nd2ThS6 after structural relaxation, from the Alexandria database.

As for the formation energy without anion corrections: -45.79 kcal/mol of atoms. Its uncorrected energy is -6.66 eV per atom.

It has space group C2/m (No. 12), with a = 17.7729 Å, b = 4.0825 Å, c = 8.1717 Å, α = 90.00°, β = 103.31° and γ = 90.00°. The inequivalent atoms are Pr at (0.0000, 0.0000, 0.0000), Pr at (0.1669, 0.5000, 0.3343), Nd at (0.1660, 0.5000, 0.8318), Th at (0.0000, 0.0000, 0.5000), S at (0.9997, 0.5000, 0.2529), S at (0.1655, 0.0000, 0.5849) and S at (0.1681, 0.0000, 0.0815).



The following is a PBE calculation of Pr2NdTl3S6 after structural relaxation, from the Alexandria database.

As for the formation energy without anion corrections: -33.39 kcal/mol of atoms. Its uncorrected energy is -5.30 eV per atom.

It has space group C2/m (No. 12), with a = 7.2849 Å, b = 12.6174 Å, c = 7.8772 Å, α = 90.00°, β = 107.96° and γ = 90.00°. The inequivalent atoms are Pr at (0.0000, 0.1667, 0.0000), Nd at (0.0000, 0.5000, 0.0000), Tl at (0.0000, 0.0000, 0.5000), Tl at (0.0000, 0.3332, 0.5000), S at (0.2342, 0.3343, 0.2052) and S at (0.2371, 0.0000, 0.2056).



The following is a PBE calculation of Pr3Nd3TmS8 after structural relaxation, from the Alexandria database.

As for the formation energy without anion corrections: -47.19 kcal/mol of atoms. Its uncorrected energy is -6.46 eV per atom.

It has space group R-3m (No. 166, hexagonal axes), with a = 8.1267 Å, b = 8.1267 Å, c = 19.9719 Å, α = 90.00°, β = 90.00° and γ = 120.00°. The inequivalent atoms are Pr at (0.0000, 0.5000, 0.0000), Nd at (0.0000, 0.5000, 0.5000), Tm at (0.0000, 0.0000, 0.5000), S at (0.0000, 0.0000, 0.2489) and S at (0.0137, 0.5068, 0.2456).



The following is a PBE calculation of Pr3Nd2TmS6 after structural relaxation, from the Alexandria database.

As for the formation energy without anion corrections: -46.34 kcal/mol of atoms. Its uncorrected energy is -6.44 eV per atom.

It has space group C2/m (No. 12), with a = 6.9986 Å, b = 12.1525 Å, c = 7.0324 Å, α = 90.00°, β = 109.42° and γ = 90.00°. The inequivalent atoms are Pr at (0.0000, 0.0000, 0.0000), Pr at (0.0000, 0.3277, 0.0000), Nd at (0.0000, 0.1671, 0.5000), Tm at (0.0000, 0.5000, 0.5000), S at (0.2392, 0.3397, 0.7376) and S at (0.2395, 0.5000, 0.2577).



The following is a PBE calculation of PrNd2Tm3S6 after structural relaxation, from the Alexandria database.

As for the formation energy without anion corrections: -45.89 kcal/mol of atoms. Its uncorrected energy is -6.36 eV per atom.

It has space group C2/m (No. 12), with a = 17.4378 Å, b = 3.9013 Å, c = 8.0666 Å, α = 90.00°, β = 105.57° and γ = 90.00°. The inequivalent atoms are Pr at (0.0000, 0.0000, 0.0000), Nd at (0.1666, 0.5000, 0.3331), Tm at (0.0000, 0.0000, 0.5000), Tm at (0.1664, 0.5000, 0.8330), S at (0.0048, 0.5000, 0.7353), S at (0.1618, 0.0000, 0.5959) and S at (0.1723, 0.0000, 0.0708).



The following is a PBE calculation of Pr4NdTm3S8 after structural relaxation, from the Alexandria database.

As for the formation energy without anion corrections: -45.84 kcal/mol of atoms. Its uncorrected energy is -6.38 eV per atom.

It has space group R-3m (No. 166, hexagonal axes), with a = 7.9265 Å, b = 7.9265 Å, c = 20.0682 Å, α = 90.00°, β = 90.00° and γ = 120.00°. The inequivalent atoms are Pr at (0.0000, 0.0000, 0.0000), Pr at (0.0000, 0.5000, 0.0000), Nd at (0.0000, 0.0000, 0.5000), Tm at (0.0000, 0.5000, 0.5000), S at (0.0000, 0.0000, 0.2414) and S at (0.0103, 0.5051, 0.7565).



The following is a PBE calculation of PrNd2TmS6 after structural relaxation, from the Alexandria database.

As for the formation energy without anion corrections: -46.47 kcal/mol of atoms. Its uncorrected energy is -6.37 eV per atom.

It has space group R3 (No. 146, hexagonal axes), with a = 7.1198 Å, b = 7.1198 Å, c = 18.7856 Å, α = 90.00°, β = 90.00° and γ = 120.00°. The inequivalent atoms are Pr at (0.0000, 0.0000, 0.0000), Nd at (0.0000, 0.0000, 0.2891), Nd at (0.0000, 0.0000, 0.7929), Tm at (0.0000, 0.0000, 0.4944), S at (0.0397, 0.3527, 0.5625) and S at (0.0447, 0.6681, 0.0645).



The following is a PBE calculation of Pr3NdTm2S6 after structural relaxation, from the Alexandria database.

As for the formation energy without anion corrections: -46.06 kcal/mol of atoms. Its uncorrected energy is -6.40 eV per atom.

It has space group C2/m (No. 12), with a = 6.8962 Å, b = 11.9721 Å, c = 7.0372 Å, α = 90.00°, β = 109.14° and γ = 90.00°. The inequivalent atoms are Pr at (0.0000, 0.0000, 0.0000), Pr at (0.0000, 0.3392, 0.0000), Nd at (0.0000, 0.5000, 0.5000), Tm at (0.0000, 0.1663, 0.5000), S at (0.2298, 0.0000, 0.7285) and S at (0.2492, 0.1733, 0.2667).



The following is a PBE calculation of PrNd2TmS5 after structural relaxation, from the Alexandria database.

As for the formation energy without anion corrections: -34.83 kcal/mol of atoms. Its uncorrected energy is -5.89 eV per atom.

It has space group P4/mmm (No. 123), with a = 4.8308 Å, b = 4.8308 Å, c = 10.5231 Å, α = 90.00°, β = 90.00° and γ = 90.00°. The inequivalent atoms are Pr at (0.0000, 0.0000, 0.0000), Nd at (0.5000, 0.5000, 0.3145), Tm at (0.0000, 0.0000, 0.5000), S at (0.0000, 0.0000, 0.2531), S at (0.0000, 0.5000, 0.5000) and S at (0.5000, 0.5000, 0.0000).



The following is a PBE calculation of Pr2NdTmS4 after structural relaxation, from the Alexandria database.

As for the formation energy without anion corrections: -46.00 kcal/mol of atoms. Its uncorrected energy is -6.41 eV per atom.

It has space group P2/m (No. 10), with a = 6.9951 Å, b = 3.9728 Å, c = 7.0568 Å, α = 90.00°, β = 108.70° and γ = 90.00°. The inequivalent atoms are Pr at (0.0000, 0.0000, 0.0000), Pr at (0.5000, 0.5000, 0.0000), Nd at (0.0000, 0.5000, 0.5000), Tm at (0.5000, 0.0000, 0.5000), S at (0.2569, 0.0000, 0.7386) and S at (0.2669, 0.5000, 0.2690).



Question: Which of these has the highest formation energy without anion corrections?
Answer: Pr2NdTl3S6